A geometry-optimized Mg2ScRe structure. Source: Alexandria via LeMat-Bulk, functional PBE-GGA.

Output
ΔH_f (0 K) in eV/atom: 0.2955
Volume in Å³ per atom: 18.87
Space group: P4/mmm (123)
Magnetization in Bohr magnetons per cell: 0.3
Energy above the lowest structure with this stoichiometry in meV/atom: 158

a = 2.806 Å, b = 2.806 Å, c = 9.582 Å
α = 90.00°, β = 90.00°, γ = 90.00°
Atoms (fractional coordinates):
Mg: 0.000 0.000 0.224
Mg: 0.000 0.000 0.776
Sc: 0.500 0.500 0.500
Re: 0.500 0.500 0.000

***

A geometry-optimized MgScRe structure. Source: Alexandria via LeMat-Bulk, functional PBE-GGA.

Output
ΔH_f (0 K) in eV/atom: 0.7776
Volume in Å³ per atom: 21.76
Space group: F-43m (216)
Magnetization in Bohr magnetons per cell: 0.2
Energy above the lowest structure with this stoichiometry in meV/atom: 635

a = 4.519 Å, b = 4.519 Å, c = 4.519 Å
α = 60.00°, β = 60.00°, γ = 60.00°
Atoms (fractional coordinates):
Mg: 0.000 0.000 0.000
Sc: 0.500 0.500 0.500
Re: 0.750 0.750 0.750

***

A geometry-optimized Mg2ScRe structure. Source: Alexandria via LeMat-Bulk, functional PBE-GGA.

Output
ΔH_f (0 K) in eV/atom: 0.1720
Volume in Å³ per atom: 18.48
Space group: P2/m (10)
Magnetization in Bohr magnetons per cell: 0.0
Energy above the lowest structure with this stoichiometry in meV/atom: 35

a = 2.829 Å, b = 4.871 Å, c = 5.488 Å
α = 90.00°, β = 102.11°, γ = 90.00°
Atoms (fractional coordinates):
Mg: 0.212 0.000 0.269
Mg: 0.788 0.000 0.731
Sc: 0.500 0.500 0.000
Re: 0.000 0.500 0.500

***

A geometry-optimized MgScRe2 structure. Source: Alexandria via LeMat-Bulk, functional PBE-GGA.

Output
ΔH_f (0 K) in eV/atom: 0.1589
Volume in Å³ per atom: 16.54
Space group: Pmmm (47)
Magnetization in Bohr magnetons per cell: 0.0

a = 3.307 Å, b = 4.396 Å, c = 4.550 Å
α = 90.00°, β = 90.00°, γ = 90.00°
Atoms (fractional coordinates):
Mg: 0.000 0.000 0.000
Sc: 0.500 0.500 0.000
Re: 0.000 0.500 0.500
Re: 0.500 0.000 0.500

***

A geometry-optimized Mg2Sc2Re structure. Source: Alexandria via LeMat-Bulk, functional PBE-GGA.

Output
ΔH_f (0 K) in eV/atom: 0.4062
Volume in Å³ per atom: 21.95
Space group: I4/mmm (139)
Magnetization in Bohr magnetons per cell: 0.0

a = 8.967 Å, b = 8.967 Å, c = 8.967 Å
α = 157.03°, β = 157.03°, γ = 32.71°
Atoms (fractional coordinates):
Mg: 0.250 0.750 0.500
Mg: 0.750 0.250 0.500
Sc: 0.083 0.083 0.000
Sc: 0.917 0.917 0.000
Re: 0.500 0.500 0.000

***

A geometry-optimized MgScRe2 structure. Source: Alexandria via LeMat-Bulk, functional PBE-GGA.

Output
ΔH_f (0 K) in eV/atom: 0.1956
Volume in Å³ per atom: 17.40
Space group: Cmm2 (35)
Magnetization in Bohr magnetons per cell: 0.0

a = 2.806 Å, b = 2.806 Å, c = 9.461 Å
α = 90.00°, β = 90.00°, γ = 110.89°
Atoms (fractional coordinates):
Mg: 0.000 0.000 0.000
Sc: 0.500 0.500 0.294
Re: 0.000 0.000 0.534
Re: 0.500 0.500 0.753

***

A geometry-optimized Mg2ScRe structure. Source: Alexandria via LeMat-Bulk, functional PBE-GGA.

Output
ΔH_f (0 K) in eV/atom: 0.3255
Volume in Å³ per atom: 18.19
Space group: Fm-3m (225)
Magnetization in Bohr magnetons per cell: 0.0
Energy above the lowest structure with this stoichiometry in meV/atom: 188

a = 4.686 Å, b = 4.686 Å, c = 4.686 Å
α = 60.00°, β = 60.00°, γ = 60.00°
Atoms (fractional coordinates):
Mg: 0.250 0.250 0.250
Mg: 0.750 0.750 0.750
Sc: 0.000 0.000 0.000
Re: 0.500 0.500 0.500

***

A geometry-optimized Mg2ScRe structure. Source: Alexandria via LeMat-Bulk, functional PBE-GGA.

Output
ΔH_f (0 K) in eV/atom: 0.1986
Volume in Å³ per atom: 18.36
Space group: Pmmm (47)
Magnetization in Bohr magnetons per cell: 0.0
Energy above the lowest structure with this stoichiometry in meV/atom: 61

a = 2.832 Å, b = 4.577 Å, c = 5.664 Å
α = 90.00°, β = 90.00°, γ = 90.00°
Atoms (fractional coordinates):
Mg: 0.000 0.000 0.231
Mg: 0.000 0.000 0.769
Sc: 0.500 0.500 0.500
Re: 0.500 0.500 0.000

***

A geometry-optimized Mg2ScRe structure. Source: Alexandria via LeMat-Bulk, functional PBE-GGA.

Output
ΔH_f (0 K) in eV/atom: 0.1486
Volume in Å³ per atom: 18.25
Space group: I4/mmm (139)
Magnetization in Bohr magnetons per cell: 0.0
Energy above the lowest structure with this stoichiometry in meV/atom: 11

a = 5.255 Å, b = 5.255 Å, c = 5.255 Å
α = 134.37°, β = 134.37°, γ = 66.52°
Atoms (fractional coordinates):
Mg: 0.250 0.750 0.500
Mg: 0.750 0.250 0.500
Sc: 0.000 0.000 0.000
Re: 0.500 0.500 0.000

***

A geometry-optimized Mg2ScRe structure. Source: Alexandria via LeMat-Bulk, functional PBE-GGA.

Output
ΔH_f (0 K) in eV/atom: 0.2595
Volume in Å³ per atom: 18.71
Space group: Cmmm (65)
Magnetization in Bohr magnetons per cell: 0.0
Energy above the lowest structure with this stoichiometry in meV/atom: 122

a = 2.808 Å, b = 2.808 Å, c = 9.846 Å
α = 90.00°, β = 90.00°, γ = 105.40°
Atoms (fractional coordinates):
Mg: 0.000 0.000 0.226
Mg: 0.000 0.000 0.774
Sc: 0.500 0.500 0.500
Re: 0.500 0.500 0.000

***

A geometry-optimized Mg2ScRe structure. Source: Alexandria via LeMat-Bulk, functional PBE-GGA.

Output
ΔH_f (0 K) in eV/atom: 0.3540
Volume in Å³ per atom: 18.66
Space group: P4/mmm (123)
Magnetization in Bohr magnetons per cell: 0.0
Energy above the lowest structure with this stoichiometry in meV/atom: 217

a = 3.586 Å, b = 3.586 Å, c = 5.805 Å
α = 90.00°, β = 90.00°, γ = 90.00°
Atoms (fractional coordinates):
Mg: 0.000 0.000 0.223
Mg: 0.000 0.000 0.777
Sc: 0.500 0.500 0.500
Re: 0.500 0.500 0.000

***

A geometry-optimized MgScRe2 structure. Source: Alexandria via LeMat-Bulk, functional PBE-GGA.

Output
ΔH_f (0 K) in eV/atom: 0.9070
Volume in Å³ per atom: 18.01
Space group: I-42d (122)
Magnetization in Bohr magnetons per cell: 0.0

a = 5.854 Å, b = 5.854 Å, c = 5.854 Å
α = 101.71°, β = 101.71°, γ = 126.44°
Atoms (fractional coordinates):
Mg: 0.000 0.000 0.000
Mg: 0.750 0.250 0.500
Sc: 0.250 0.750 0.500
Sc: 0.500 0.500 0.000
Re: 0.110 0.625 0.985
Re: 0.375 0.360 0.485
Re: 0.640 0.125 0.015
Re: 0.875 0.890 0.515

***

A geometry-optimized MgScRe2 structure. Source: Alexandria via LeMat-Bulk, functional PBE-GGA.

Output
ΔH_f (0 K) in eV/atom: 0.2891
Volume in Å³ per atom: 16.75
Space group: P4/mmm (123)
Magnetization in Bohr magnetons per cell: 0.0

a = 2.709 Å, b = 2.709 Å, c = 9.132 Å
α = 90.00°, β = 90.00°, γ = 90.00°
Atoms (fractional coordinates):
Mg: 0.000 0.000 0.000
Sc: 0.000 0.000 0.500
Re: 0.500 0.500 0.247
Re: 0.500 0.500 0.753

***

A geometry-optimized MgScRe2 structure. Source: Alexandria via LeMat-Bulk, functional PBE-GGA.

Output
ΔH_f (0 K) in eV/atom: 0.3368
Volume in Å³ per atom: 16.81
Space group: R-3m (166)
Magnetization in Bohr magnetons per cell: 0.0

a = 9.748 Å, b = 9.748 Å, c = 9.748 Å
α = 16.77°, β = 16.77°, γ = 16.77°
Atoms (fractional coordinates):
Mg: 0.000 0.000 0.000
Sc: 0.500 0.500 0.500
Re: 0.251 0.251 0.251
Re: 0.749 0.749 0.749

***

A geometry-optimized MgScRe2 structure. Source: Alexandria via LeMat-Bulk, functional PBE-GGA.

Output
ΔH_f (0 K) in eV/atom: 0.1910
Volume in Å³ per atom: 16.64
Space group: Immm (71)
Magnetization in Bohr magnetons per cell: 0.0

a = 5.344 Å, b = 5.344 Å, c = 5.344 Å
α = 143.86°, β = 131.64°, γ = 61.83°
Atoms (fractional coordinates):
Mg: 0.000 0.000 0.000
Sc: 0.500 0.500 0.000
Re: 0.251 0.751 0.500
Re: 0.749 0.249 0.500

***

A geometry-optimized Mg3ScRe structure. Source: Alexandria via LeMat-Bulk, functional PBE-GGA.

Output
ΔH_f (0 K) in eV/atom: 0.8370
Volume in Å³ per atom: 25.01
Space group: Pm-3m (221)
Magnetization in Bohr magnetons per cell: 0.0
Energy above the lowest structure with this stoichiometry in meV/atom: 0

a = 5.000 Å, b = 5.000 Å, c = 5.000 Å
α = 90.00°, β = 90.00°, γ = 90.00°
Atoms (fractional coordinates):
Mg: 0.000 0.000 0.500
Mg: 0.000 0.500 0.000
Mg: 0.500 0.000 0.000
Sc: 0.500 0.500 0.500
Re: 0.000 0.000 0.000

***

A geometry-optimized Mg2ScRe structure. Source: Alexandria via LeMat-Bulk, functional PBE-GGA.

Output
ΔH_f (0 K) in eV/atom: 0.1960
Volume in Å³ per atom: 18.62
Space group: C2/m (12)
Magnetization in Bohr magnetons per cell: 0.0
Energy above the lowest structure with this stoichiometry in meV/atom: 59

a = 5.224 Å, b = 5.224 Å, c = 5.216 Å
α = 96.78°, β = 96.78°, γ = 31.82°
Atoms (fractional coordinates):
Mg: 0.240 0.240 0.231
Mg: 0.760 0.760 0.769
Sc: 0.000 0.000 0.500
Re: 0.500 0.500 0.000

***

A geometry-optimized ThMgScRe structure. Source: Alexandria via LeMat-Bulk, functional PBE-GGA.

Output
ΔH_f (0 K) in eV/atom: 0.0577
Volume in Å³ per atom: 21.97
Space group: F-43m (216)
Magnetization in Bohr magnetons per cell: 0.0

a = 4.990 Å, b = 4.990 Å, c = 4.990 Å
α = 60.00°, β = 60.00°, γ = 60.00°
Atoms (fractional coordinates):
Th: 0.000 0.000 0.000
Mg: 0.750 0.750 0.750
Sc: 0.500 0.500 0.500
Re: 0.250 0.250 0.250

***

A geometry-optimized MgScTiRe structure. Source: Alexandria via LeMat-Bulk, functional PBE-GGA.

Output
ΔH_f (0 K) in eV/atom: -0.0573
Volume in Å³ per atom: 17.54
Space group: F-43m (216)
Magnetization in Bohr magnetons per cell: 0.0

a = 4.630 Å, b = 4.630 Å, c = 4.630 Å
α = 60.00°, β = 60.00°, γ = 60.00°
Atoms (fractional coordinates):
Mg: 0.000 0.000 0.000
Sc: 0.250 0.250 0.250
Ti: 0.750 0.750 0.750
Re: 0.500 0.500 0.500

***

A geometry-optimized MgSc2TlRe structure. Source: Alexandria via LeMat-Bulk, functional PBE-GGA.

Output
ΔH_f (0 K) in eV/atom: 1.2370
Volume in Å³ per atom: 28.46
Space group: P4/mmm (123)
Magnetization in Bohr magnetons per cell: 1.1

a = 5.288 Å, b = 5.288 Å, c = 5.089 Å
α = 90.00°, β = 90.00°, γ = 90.00°
Atoms (fractional coordinates):
Mg: 0.000 0.000 0.000
Sc: 0.000 0.500 0.500
Sc: 0.500 0.000 0.500
Tl: 0.500 0.500 0.500
Re: 0.500 0.500 0.000

***

A geometry-optimized MgScTl2Re structure. Source: Alexandria via LeMat-Bulk, functional PBE-GGA.

Output
ΔH_f (0 K) in eV/atom: 0.5416
Volume in Å³ per atom: 28.79
Space group: P4/mmm (123)
Magnetization in Bohr magnetons per cell: 0.2

a = 5.402 Å, b = 5.402 Å, c = 4.932 Å
α = 90.00°, β = 90.00°, γ = 90.00°
Atoms (fractional coordinates):
Mg: 0.000 0.000 0.000
Sc: 0.500 0.500 0.000
Tl: 0.000 0.500 0.500
Tl: 0.500 0.000 0.500
Re: 0.500 0.500 0.500

***

A geometry-optimized Mg2ZrScRe structure. Source: Alexandria via LeMat-Bulk, functional PBE-GGA.

Output
ΔH_f (0 K) in eV/atom: 1.9112
Volume in Å³ per atom: 26.02
Space group: P4/mmm (123)
Magnetization in Bohr magnetons per cell: 4.0

a = 5.210 Å, b = 5.210 Å, c = 4.793 Å
α = 90.00°, β = 90.00°, γ = 90.00°
Atoms (fractional coordinates):
Mg: 0.000 0.500 0.000
Mg: 0.500 0.000 0.000
Zr: 0.000 0.000 0.000
Sc: 0.000 0.000 0.500
Re: 0.500 0.500 0.500

***

A geometry-optimized MgZrSc2Re structure. Source: Alexandria via LeMat-Bulk, functional PBE-GGA.

Output
ΔH_f (0 K) in eV/atom: 1.1690
Volume in Å³ per atom: 22.77
Space group: P4/mmm (123)
Magnetization in Bohr magnetons per cell: 0.8

a = 4.880 Å, b = 4.880 Å, c = 4.781 Å
α = 90.00°, β = 90.00°, γ = 90.00°
Atoms (fractional coordinates):
Mg: 0.000 0.000 0.000
Zr: 0.500 0.500 0.500
Sc: 0.000 0.500 0.000
Sc: 0.500 0.000 0.000
Re: 0.000 0.000 0.500

***

A geometry-optimized MgReSe structure. Source: Alexandria via LeMat-Bulk, functional PBE-GGA.

Output
Volume in Å³ per atom: 17.89
Formation energy without anion corrections in eV/atom: 0.0898
Space group: I4mm (107)
Magnetization in Bohr magnetons per cell: 0.0
Energy above the lowest structure with this stoichiometry in meV/atom: 17

a = 5.834 Å, b = 5.834 Å, c = 5.834 Å
α = 148.61°, β = 148.61°, γ = 44.98°
Atoms (fractional coordinates):
Mg: 0.000 0.000 0.000
Re: 0.673 0.673 0.000
Se: 0.286 0.286 0.000

***

A geometry-optimized MgReSe2 structure. Source: Alexandria via LeMat-Bulk, functional PBE-GGA.

Output
Volume in Å³ per atom: 17.55
Formation energy without anion corrections in eV/atom: 0.1436
Space group: P4/mmm (123)
Magnetization in Bohr magnetons per cell: 0.0

a = 3.176 Å, b = 3.176 Å, c = 6.960 Å
α = 90.00°, β = 90.00°, γ = 90.00°
Atoms (fractional coordinates):
Mg: 0.000 0.000 0.000
Re: 0.000 0.000 0.500
Se: 0.500 0.500 0.278
Se: 0.500 0.500 0.722

***

A geometry-optimized MgReSe structure. Source: Alexandria via LeMat-Bulk, functional PBE-GGA.

Output
Volume in Å³ per atom: 18.40
Formation energy without anion corrections in eV/atom: 0.6909
Space group: F-43m (216)
Magnetization in Bohr magnetons per cell: 0.9
Energy above the lowest structure with this stoichiometry in meV/atom: 618

a = 4.274 Å, b = 4.274 Å, c = 4.274 Å
α = 60.00°, β = 60.00°, γ = 60.00°
Atoms (fractional coordinates):
Mg: 0.000 0.000 0.000
Re: 0.500 0.500 0.500
Se: 0.750 0.750 0.750

***

A geometry-optimized MgReSe2 structure. Source: Alexandria via LeMat-Bulk, functional PBE-GGA.

Output
Volume in Å³ per atom: 20.98
Formation energy without anion corrections in eV/atom: 0.0172
Space group: R-3m (166)
Magnetization in Bohr magnetons per cell: 0.0

a = 9.518 Å, b = 9.518 Å, c = 9.518 Å
α = 19.49°, β = 19.49°, γ = 19.49°
Atoms (fractional coordinates):
Mg: 0.000 0.000 0.000
Re: 0.500 0.500 0.500
Se: 0.104 0.104 0.104
Se: 0.896 0.896 0.896

***

A geometry-optimized MgReSe2 structure. Source: Alexandria via LeMat-Bulk, functional PBE-GGA.

Output
Volume in Å³ per atom: 19.60
Formation energy without anion corrections in eV/atom: 0.3770
Space group: C2/m (12)
Magnetization in Bohr magnetons per cell: 0.8

a = 5.037 Å, b = 5.037 Å, c = 3.522 Å
α = 109.40°, β = 109.40°, γ = 92.15°
Atoms (fractional coordinates):
Mg: 0.000 0.000 0.000
Re: 0.500 0.500 0.000
Se: 0.000 0.500 0.500
Se: 0.500 0.000 0.500

***

A geometry-optimized MgRe4Se structure. Source: Alexandria via LeMat-Bulk, functional PBE-GGA.

Output
Volume in Å³ per atom: 17.15
Formation energy without anion corrections in eV/atom: 0.6332
Space group: F-43m (216)
Magnetization in Bohr magnetons per cell: 0.0

a = 5.260 Å, b = 5.260 Å, c = 5.260 Å
α = 60.00°, β = 60.00°, γ = 60.00°
Atoms (fractional coordinates):
Mg: 0.000 0.000 0.000
Re: 0.127 0.624 0.624
Re: 0.624 0.127 0.624
Re: 0.624 0.624 0.127
Re: 0.624 0.624 0.624
Se: 0.250 0.250 0.250

***

A geometry-optimized MgReSe2 structure. Source: Alexandria via LeMat-Bulk, functional PBE-GGA.

Output
Volume in Å³ per atom: 19.43
Formation energy without anion corrections in eV/atom: 0.0055
Space group: R-3m (166)
Magnetization in Bohr magnetons per cell: 1.2

a = 6.742 Å, b = 6.742 Å, c = 6.742 Å
α = 32.29°, β = 32.29°, γ = 32.29°
Atoms (fractional coordinates):
Mg: 0.000 0.000 0.000
Re: 0.500 0.500 0.500
Se: 0.241 0.241 0.241
Se: 0.759 0.759 0.759